1.
Computed, not measured: a relaxed Tb2Er4Th crystal at the PBE level of DFT.

The value obtained for the mass density is 9.196 g/cm³. The formation energy comes out at 0.019 eV per atom. The calculation puts the total DFT energy (no corrections) at -34.8 eV per formula unit. Its offset from the most stable computed form is 0 meV/atom.

The space group is Cm (No. 8) and the conventional cell measures 6.1881, 3.5739 and 20.0117 Å, with angles of 90.00, 95.96 and 90.00 degrees. Symmetry generates all atoms from Tb at (0.0000, 0.0000, 0.0000), Tb at (0.0936, 0.0000, 0.2847), Er at (0.1892, 0.0000, 0.5675), Er at (0.2129, 0.5000, 0.1425), Er at (0.2855, 0.0000, 0.8569), Er at (0.3079, 0.5000, 0.4271) and Th at (0.4044, 0.5000, 0.7120).



2.
Computed, not measured: a relaxed Tb7ErTh3 crystal at the PBE level of DFT.

The value obtained for the mass density is 9.127 g/cm³. The formation energy comes out at 0.154 eV per atom. The calculation puts the total DFT energy (no corrections) at -57.5 eV per formula unit. Its offset from the most stable computed form is 0 meV/atom.

The space group is P-1 (No. 2) and the conventional cell measures 6.4459, 6.6972 and 8.6550 Å, with angles of 101.37, 97.12 and 96.86 degrees. Symmetry generates all atoms from Tb at (0.0000, 0.0000, 0.0000), Tb at (0.0716, 0.7147, 0.6445), Tb at (0.2053, 0.2302, 0.7044), Tb at (0.4920, 0.7308, 0.9252), Er at (0.0000, 0.5000, 0.0000), Th at (0.3254, 0.9468, 0.3346) and Th at (0.5000, 0.5000, 0.5000).



3.
Computed, not measured: a relaxed Tb4Er3Th crystal at the PBE level of DFT.

The value obtained for the mass density is 8.906 g/cm³. The formation energy comes out at 0.023 eV per atom. The calculation puts the total DFT energy (no corrections) at -39.4 eV per formula unit. Its offset from the most stable computed form is 0 meV/atom.

The space group is Pmn2_1 (No. 31) and the conventional cell measures 11.3295, 7.2281 and 6.2365 Å, with angles of 90.00, 90.00 and 90.00 degrees. Symmetry generates all atoms from Tb at (0.0000, 0.1276, 0.0000), Tb at (0.0000, 0.8695, 0.5035), Tb at (0.2500, 0.1275, 0.3434), Er at (0.0000, 0.3787, 0.5032), Er at (0.2494, 0.3790, 0.8320) and Th at (0.0000, 0.6238, 0.0039).



4.
Computed, not measured: a relaxed Tb6Er5Th crystal at the PBE level of DFT.

The value obtained for the mass density is 8.829 g/cm³. The formation energy comes out at 0.125 eV per atom. The calculation puts the total DFT energy (no corrections) at -56.5 eV per formula unit.

The space group is Immm (No. 71) and the conventional cell measures 5.8098, 7.3465 and 17.8191 Å, with angles of 90.00, 90.00 and 90.00 degrees. Symmetry generates all atoms from Tb at (0.0000, 0.2484, 0.0000), Tb at (0.0000, 0.2519, 0.3209), Er at (0.0000, 0.0000, 0.1550), Er at (0.0000, 0.0000, 0.5000), Er at (0.0000, 0.5000, 0.1555) and Th at (0.0000, 0.5000, 0.5000).